The following is a DFT calculation (PBE) of NbZn after structural relaxation.

Results
Symmetry: Fm-3m
Formation energy from the elements: 0.500 eV per atom

Cell: 5.2329 5.2329 5.2329 Å, 90.00 90.00 90.00°
Closest atoms and distances in Å follow each position.
Positions (direct):
Nb  0.0000  0.0000  0.0000  6 Zn 2.62
Nb  0.0000  0.5000  0.5000  6 Zn 2.62
Nb  0.5000  0.0000  0.5000  6 Zn 2.62
Nb  0.5000  0.5000  0.0000  6 Zn 2.62
Zn  0.5000  0.5000  0.5000  6 Nb 2.62
Zn  0.5000  0.0000  0.0000  6 Nb 2.62
Zn  0.0000  0.5000  0.0000  6 Nb 2.62
Zn  0.0000  0.0000  0.5000  6 Nb 2.62


The following is a DFT calculation (PBE) of NbZn after structural relaxation.

Results
Symmetry: Pm-3n
Formation energy from the elements: 1.846 eV per atom

Cell: 7.0847 7.0847 7.0847 Å, 90.00 90.00 90.00°
Closest atoms and distances in Å follow each position.
Positions (direct):
Nb  0.2500  0.5000  0.0000  4 Zn 2.50
Nb  0.7500  0.5000  0.0000  4 Zn 2.50
Nb  0.5000  0.0000  0.2500  4 Zn 2.50
Nb  0.5000  0.0000  0.7500  4 Zn 2.50
Nb  0.0000  0.2500  0.5000  4 Zn 2.50
Nb  0.0000  0.7500  0.5000  4 Zn 2.50
Zn  0.2500  0.0000  0.5000  4 Nb 2.50
Zn  0.7500  0.0000  0.5000  4 Nb 2.50
Zn  0.0000  0.5000  0.2500  4 Nb 2.50
Zn  0.0000  0.5000  0.7500  4 Nb 2.50
Zn  0.5000  0.2500  0.0000  4 Nb 2.50
Zn  0.5000  0.7500  0.0000  4 Nb 2.50


The following is a DFT calculation (PBE) of Nb5Zn after structural relaxation.

Results
E above lowest polymorph: 0.023 eV per atom
Symmetry: Cmmm
Formation energy from the elements: -0.015 eV per atom

Cell: 3.4299 4.5271 7.1983 Å, 108.33 90.00 90.00°
Closest atoms and distances in Å follow each position.
Positions (direct):
Nb  0.0000  0.6612  0.3224  8 Nb 2.79-2.90
Nb  0.0000  0.3388  0.6776  8 Nb 2.79-2.90
Nb  0.5000  0.5000  0.0000  4 Nb 2.79, 4 Zn 2.84
Nb  0.5000  0.1677  0.3353  6 Nb 2.84-2.90, 2 Zn 2.86
Nb  0.5000  0.8323  0.6647  6 Nb 2.84-2.90, 2 Zn 2.86
Zn  0.0000  0.0000  0.0000  12 Nb 2.84-3.16


The following is a DFT calculation (PBE) of NbZn after structural relaxation.

Results
Symmetry: P4/mcc
Formation energy from the elements: 0.245 eV per atom

Cell: 7.6282 7.6282 4.8068 Å, 90.00 90.00 90.00°
Closest atoms and distances in Å follow each position.
Positions (direct):
Nb  0.7648  0.5652  0.0000  2 Nb 2.60, 3 Zn 2.75-2.81
Nb  0.7648  0.4348  0.5000  2 Nb 2.60, 3 Zn 2.75-2.81
Nb  0.2352  0.5652  0.5000  2 Nb 2.60, 3 Zn 2.75-2.81
Nb  0.2352  0.4348  0.0000  2 Nb 2.60, 3 Zn 2.75-2.81
Nb  0.4348  0.2352  0.5000  2 Nb 2.60, 3 Zn 2.75-2.81
Nb  0.4348  0.7648  0.0000  2 Nb 2.60, 3 Zn 2.75-2.81
Nb  0.5652  0.2352  0.0000  2 Nb 2.60, 3 Zn 2.75-2.81
Nb  0.5652  0.7648  0.5000  2 Nb 2.60, 3 Zn 2.75-2.81
Zn  0.9254  0.2354  0.0000  6 Zn 2.66-2.96, 3 Nb 2.75-2.81
Zn  0.9254  0.7646  0.5000  6 Zn 2.66-2.96, 3 Nb 2.75-2.81
Zn  0.0746  0.2354  0.5000  6 Zn 2.66-2.96, 3 Nb 2.75-2.81
Zn  0.0746  0.7646  0.0000  6 Zn 2.66-2.96, 3 Nb 2.75-2.81
Zn  0.7646  0.0746  0.5000  6 Zn 2.66-2.96, 3 Nb 2.75-2.81
Zn  0.7646  0.9254  0.0000  6 Zn 2.66-2.96, 3 Nb 2.75-2.81
Zn  0.2354  0.0746  0.0000  6 Zn 2.66-2.96, 3 Nb 2.75-2.81
Zn  0.2354  0.9254  0.5000  6 Zn 2.66-2.96, 3 Nb 2.75-2.81


The following is a DFT calculation (PBE) of NbZn after structural relaxation.

Results
Symmetry: Pnma
Formation energy from the elements: 0.005 eV per atom

Cell: 10.5578 4.4566 5.5858 Å, 90.00 90.00 90.00°
Closest atoms and distances in Å follow each position.
Positions (direct):
Nb  0.5513  0.2500  0.6533  4 Zn 2.65-2.95, 2 Nb 2.82
Nb  0.0513  0.2500  0.8467  4 Zn 2.65-2.95, 2 Nb 2.82
Nb  0.4487  0.7500  0.3467  4 Zn 2.65-2.95, 2 Nb 2.82
Nb  0.9487  0.7500  0.1533  4 Zn 2.65-2.95, 2 Nb 2.82
Nb  0.3660  0.2500  0.0810  8 Zn 2.67-2.96, 2 Nb 2.82
Nb  0.8660  0.2500  0.4190  8 Zn 2.67-2.96, 2 Nb 2.82
Nb  0.6340  0.7500  0.9190  8 Zn 2.67-2.96, 2 Nb 2.82
Nb  0.1340  0.7500  0.5810  8 Zn 2.67-2.96, 2 Nb 2.82
Zn  0.6123  0.2500  0.1932  3 Zn 2.50-2.73, 4 Nb 2.65-2.71
Zn  0.1123  0.2500  0.3068  3 Zn 2.50-2.73, 4 Nb 2.65-2.71
Zn  0.3877  0.7500  0.8068  3 Zn 2.50-2.73, 4 Nb 2.65-2.71
Zn  0.8877  0.7500  0.6932  3 Zn 2.50-2.73, 4 Nb 2.65-2.71
Zn  0.2993  0.2500  0.5810  3 Zn 2.50-2.73, 1 Nb 2.69
Zn  0.7993  0.2500  0.9190  3 Zn 2.50-2.73, 1 Nb 2.69
Zn  0.7007  0.7500  0.4190  3 Zn 2.50-2.73, 1 Nb 2.69
Zn  0.2007  0.7500  0.0810  3 Zn 2.50-2.73, 1 Nb 2.69


The following is a DFT calculation (PBE) of NbZn6 after structural relaxation.

Results
Symmetry: Im-3m
Formation energy from the elements: 0.908 eV per atom

Cell: 5.7712 5.7712 5.7712 Å, 109.47 109.47 109.47°
Closest atoms and distances in Å follow each position.
Positions (direct):
Nb  0.0000  0.0000  0.0000  24 Zn 3.73
Zn  0.2500  0.7500  0.5000  4 Zn 2.36
Zn  0.5000  0.7500  0.2500  4 Zn 2.36
Zn  0.2500  0.5000  0.7500  4 Zn 2.36
Zn  0.7500  0.2500  0.5000  4 Zn 2.36
Zn  0.5000  0.2500  0.7500  4 Zn 2.36
Zn  0.7500  0.5000  0.2500  4 Zn 2.36


The following is a DFT calculation (PBE) of Nb3Zn after structural relaxation.

Results
Symmetry: Imm2
Formation energy from the elements: 0.079 eV per atom

Cell: 2.7026 5.3848 5.7061 Å, 118.15 103.70 90.00°
Closest atoms and distances in Å follow each position.
Positions (direct):
Nb  0.2506  0.5645  0.5013  9 Nb 2.70-3.01, 3 Zn 2.90-2.98
Nb  0.5000  0.5207  0.0000  8 Nb 2.70-2.99, 4 Zn 3.00-3.02
Nb  0.7494  0.0632  0.4987  9 Nb 2.70-3.01, 3 Zn 2.90-2.98
Zn  0.0000  0.0182  0.0000  2 Zn 2.70, 10 Nb 2.90-3.02


The following is a DFT calculation (PBE) of NbZn after structural relaxation.

Results
Symmetry: P4/mmm
Formation energy from the elements: -0.078 eV per atom

Cell: 2.8524 2.8524 3.9940 Å, 90.00 90.00 90.00°
Closest atoms and distances in Å follow each position.
Positions (direct):
Nb  0.0000  0.0000  0.5000  8 Zn 2.84, 4 Nb 2.85
Zn  0.5000  0.5000  0.0000  8 Nb 2.84, 4 Zn 2.85


The following is a DFT calculation (PBE) of Nb6Zn7 after structural relaxation.

Results
Symmetry: R-3m
Formation energy from the elements: -0.143 eV per atom

Cell: 9.6349 9.6349 9.6349 Å, 30.63 30.63 30.63°
Closest atoms and distances in Å follow each position.
Positions (direct):
Nb  0.1644  0.1644  0.1644  6 Zn 2.86-2.95, 6 Nb 2.94-3.16
Nb  0.8356  0.8356  0.8356  6 Zn 2.86-2.95, 6 Nb 2.94-3.16
Nb  0.3499  0.3499  0.3499  4 Nb 2.90-3.08, 12 Zn 2.92-3.02
Nb  0.6501  0.6501  0.6501  4 Nb 2.90-3.08, 12 Zn 2.92-3.02
Nb  0.4552  0.4552  0.4552  1 Nb 2.47
Nb  0.5448  0.5448  0.5448  1 Nb 2.47
Zn  0.0000  0.0000  0.0000  6 Zn 2.56
Zn  0.0935  0.5859  0.0935  5 Zn 2.51-2.58
Zn  0.5859  0.0935  0.0935  5 Zn 2.51-2.58
Zn  0.0935  0.0935  0.5859  5 Zn 2.51-2.58
Zn  0.9065  0.4141  0.9065  5 Zn 2.51-2.58
Zn  0.4141  0.9065  0.9065  5 Zn 2.51-2.58
Zn  0.9065  0.9065  0.4141  5 Zn 2.51-2.58


The following is a DFT calculation (PBE) of NbZn2 after structural relaxation.

Results
Symmetry: P6_3/mmc
Formation energy from the elements: -0.162 eV per atom

Cell: 5.0728 5.0728 16.3284 Å, 90.00 90.00 120.00°
Closest atoms and distances in Å follow each position.
Positions (direct):
Nb  0.3333  0.6667  0.6576  12 Zn 2.95-2.97, 4 Nb 3.02-3.13
Nb  0.6667  0.3333  0.1576  12 Zn 2.95-2.97, 4 Nb 3.02-3.13
Nb  0.6667  0.3333  0.3424  12 Zn 2.95-2.97, 4 Nb 3.02-3.13
Nb  0.3333  0.6667  0.8424  12 Zn 2.95-2.97, 4 Nb 3.02-3.13
Nb  0.0000  0.0000  0.4097  12 Zn 2.93-2.99, 4 Nb 2.95-3.13
Nb  0.0000  0.0000  0.9097  12 Zn 2.93-2.99, 4 Nb 2.95-3.13
Nb  0.0000  0.0000  0.5903  12 Zn 2.93-2.99, 4 Nb 2.95-3.13
Nb  0.0000  0.0000  0.0903  12 Zn 2.93-2.99, 4 Nb 2.95-3.13
Zn  0.8395  0.6789  0.7500  6 Zn 2.44-2.63
Zn  0.1605  0.8395  0.2500  6 Zn 2.44-2.63
Zn  0.6789  0.8395  0.2500  6 Zn 2.44-2.63
Zn  0.3211  0.1605  0.7500  6 Zn 2.44-2.63
Zn  0.8395  0.1605  0.7500  6 Zn 2.44-2.63
Zn  0.1605  0.3211  0.2500  6 Zn 2.44-2.63
Zn  0.5000  0.0000  0.5000  6 Zn 2.54
Zn  0.5000  0.5000  0.0000  6 Zn 2.54
Zn  0.3333  0.6667  0.1269  6 Zn 2.52-2.54
Zn  0.6667  0.3333  0.6269  6 Zn 2.52-2.54
Zn  0.6667  0.3333  0.8731  6 Zn 2.52-2.54
Zn  0.3333  0.6667  0.3731  6 Zn 2.52-2.54
Zn  0.5000  0.0000  0.0000  6 Zn 2.54
Zn  0.5000  0.5000  0.5000  6 Zn 2.54
Zn  0.0000  0.5000  0.5000  6 Zn 2.54
Zn  0.0000  0.5000  0.0000  6 Zn 2.54


The following is a DFT calculation (PBE) of NbZn after structural relaxation.

Results
Symmetry: Cmme
Formation energy from the elements: -0.036 eV per atom

Cell: 2.7782 2.7782 8.7684 Å, 89.97 89.97 79.54°
Closest atoms and distances in Å follow each position.
Positions (direct):
Nb  0.7503  0.7503  0.8640  6 Nb 2.78-2.98, 4 Zn 2.82-3.06
Nb  0.2497  0.2497  0.1360  6 Nb 2.78-2.98, 4 Zn 2.82-3.06
Zn  0.2507  0.2507  0.6147  8 Zn 2.68-2.94, 2 Nb 2.82
Zn  0.7493  0.7493  0.3853  8 Zn 2.68-2.94, 2 Nb 2.82


The following is a DFT calculation (PBE) of NbZn5 after structural relaxation.

Results
Symmetry: Cmmm
Formation energy from the elements: -0.069 eV per atom

Cell: 4.0365 3.9449 6.0652 Å, 108.98 90.00 90.00°
Closest atoms and distances in Å follow each position.
Positions (direct):
Nb  0.0000  0.0000  0.0000  12 Zn 2.74-2.82
Zn  0.0000  0.6758  0.3516  10 Zn 2.61-2.85, 2 Nb 2.82
Zn  0.0000  0.3242  0.6484  10 Zn 2.61-2.85, 2 Nb 2.82
Zn  0.5000  0.5000  0.0000  8 Zn 2.71-2.85, 4 Nb 2.82
Zn  0.5000  0.1621  0.3242  10 Zn 2.71-2.83, 2 Nb 2.74
Zn  0.5000  0.8379  0.6758  10 Zn 2.71-2.83, 2 Nb 2.74


| no. | Fermi-level density of states (states/eV/f.u.) | uncorrected energy (eV/atom) |
| --- | --- | --- |
| 1 | 1.23 | -5.1715 |
| 2 | 2.71 | -3.8254 |
| 3 | 5.70 | -8.6184 |
| 4 | 1.87 | -5.4271 |
| 5 | 1.65 | -5.6670 |
| 6 | 3.92 | -1.6229 |
| 7 | 3.21 | -7.7915 |
| 8 | 0.91 | -5.7496 |
| 9 | 8.40 | -5.4769 |
| 10 | 1.16 | -4.3683 |
| 11 | 1.14 | -5.7083 |
| 12 | 1.95 | -2.8087 |